Computed, not measured: Be2ZnBr after structural relaxation at the PBE-GGA level of DFT.

Its total DFT energy (no corrections) is -0.13915 Ry per atom. As for the magnetization: 0.00 μB per formula unit. The relative energy among the computed polymorphs is 0.669 eV per atom.

The structure belongs to space group Pmmm (No. 47); the cell edges are 3.314, 3.335 and 6.078 Å and the angles 90.00°, 90.00° and 90.00°. Symmetry generates all atoms from Be at (0.000, 0.000, 0.000), Be at (0.500, 0.000, 0.500), Zn at (0.000, 0.500, 0.500) and Br at (0.500, 0.500, 0.000).